Entry 1:
# BaCd2Ir2 | the Alexandria database | PBE | optimized geometry
# space group	P4/mbm
# calculated volume	211.9	Å³ per cell
# DFT total energy	-4.140	eV per atom
# energy relative to the elements	155	meV/atom
# DOS at the Fermi energy	8.32	states/eV per cell
data_BaCd2Ir2
_chemical_formula_sum 'Ba2 Cd4 Ir4'
_cell_length_a 8.291
_cell_length_b 8.291
_cell_length_c 3.082
_cell_angle_alpha 90.00
_cell_angle_beta 90.00
_cell_angle_gamma 90.00
_space_group_name_H-M_alt 'P 1'
_space_group_IT_number 1
loop_
_space_group_symop_operation_xyz
'x,y,z'
loop_
_atom_site_label
_atom_site_fract_x
_atom_site_fract_y
_atom_site_fract_z
Ir1 0.660 0.160 0.000
Ir2 0.340 0.840 0.000
Ir3 0.160 0.340 0.000
Ir4 0.840 0.660 0.000
Cd1 0.134 0.634 0.500
Cd2 0.634 0.866 0.500
Cd3 0.866 0.366 0.500
Cd4 0.366 0.134 0.500
Ba1 0.500 0.500 0.000
Ba2 0.000 0.000 0.000

Entry 2:
# Ba5PdPt2 | the Alexandria database | PBE | optimized geometry
# space group	P2_1/c
# calculated volume	1340.6	Å³ per cell
# DFT total energy	-3.912	eV per atom
# energy relative to the elements	-551	meV/atom
# DOS at the Fermi energy	15.80	states/eV per cell
data_Ba5PdPt2
_chemical_formula_sum 'Ba20 Pd4 Pt8'
_cell_length_a 7.748
_cell_length_b 11.606
_cell_length_c 15.560
_cell_angle_alpha 106.64
_cell_angle_beta 90.00
_cell_angle_gamma 90.00
_space_group_name_H-M_alt 'P 1'
_space_group_IT_number 1
loop_
_space_group_symop_operation_xyz
'x,y,z'
loop_
_atom_site_label
_atom_site_fract_x
_atom_site_fract_y
_atom_site_fract_z
Pt1 0.987 0.116 0.389
Pt2 0.513 0.116 0.889
Pt3 0.051 0.313 0.702
Pt4 0.487 0.884 0.111
Pt5 0.551 0.687 0.798
Pt6 0.449 0.313 0.202
Pt7 0.949 0.687 0.298
Pt8 0.013 0.884 0.611
Ba1 0.673 0.114 0.077
Ba2 0.723 0.504 0.161
Ba3 0.276 0.274 0.523
Ba4 0.776 0.726 0.977
Ba5 0.327 0.886 0.923
Ba6 0.224 0.274 0.023
Ba7 0.284 0.694 0.639
Ba8 0.216 0.694 0.139
Ba9 0.292 0.086 0.712
Ba10 0.277 0.496 0.839
Ba11 0.724 0.726 0.477
Ba12 0.777 0.504 0.661
Ba13 0.827 0.114 0.577
Ba14 0.792 0.914 0.788
Ba15 0.784 0.306 0.861
Ba16 0.208 0.086 0.212
Ba17 0.708 0.914 0.288
Ba18 0.173 0.886 0.423
Ba19 0.716 0.306 0.361
Ba20 0.223 0.496 0.339
Pd1 0.500 0.500 0.500
Pd2 0.000 0.000 0.000
Pd3 0.000 0.500 0.000
Pd4 0.500 0.000 0.500

Entry 3:
# NaRh3N | the Alexandria database | PBE | optimized geometry
# space group	Pm-3m
# raw formation energy	0.17	eV per atom
# calculated volume	69.2	Å³ per cell
# DFT total energy	-6.166	eV per atom
# DOS at the Fermi energy	4.08	states/eV per cell
data_NaRh3N
_chemical_formula_sum 'Na1 Rh3 N1'
_cell_length_a 4.106
_cell_length_b 4.106
_cell_length_c 4.106
_cell_angle_alpha 90.00
_cell_angle_beta 90.00
_cell_angle_gamma 90.00
_space_group_name_H-M_alt 'P 1'
_space_group_IT_number 1
loop_
_space_group_symop_operation_xyz
'x,y,z'
loop_
_atom_site_label
_atom_site_fract_x
_atom_site_fract_y
_atom_site_fract_z
N1 0.000 0.000 0.000
Rh1 0.000 0.000 0.500
Rh2 0.000 0.500 0.000
Rh3 0.500 0.000 0.000
Na1 0.500 0.500 0.500

Entry 4:
# Nd7Er2Th2 | the Alexandria database | PBE | optimized geometry
# space group	C2/m
# calculated volume	376.6	Å³ per cell
# DFT total energy	-5.040	eV per atom
# energy relative to the elements	173	meV/atom
# DOS at the Fermi energy	15.55	states/eV per cell
data_Nd7Er2Th2
_chemical_formula_sum 'Nd7 Er2 Th2'
_cell_length_a 6.148
_cell_length_b 8.128
_cell_length_c 8.128
_cell_angle_alpha 89.93
_cell_angle_beta 74.64
_cell_angle_gamma 74.64
_space_group_name_H-M_alt 'P 1'
_space_group_IT_number 1
loop_
_space_group_symop_operation_xyz
'x,y,z'
loop_
_atom_site_label
_atom_site_fract_x
_atom_site_fract_y
_atom_site_fract_z
Er1 0.500 0.223 0.777
Er2 0.500 0.777 0.223
Nd1 0.000 0.000 0.000
Nd2 0.827 0.413 0.949
Nd3 0.827 0.949 0.413
Nd4 0.595 0.770 0.770
Nd5 0.173 0.587 0.051
Nd6 0.405 0.230 0.230
Nd7 0.173 0.051 0.587
Th1 0.198 0.571 0.571
Th2 0.802 0.429 0.429

Entry 5:
# ScV2Ir2 | the Alexandria database | PBE | optimized geometry
# space group	P4/mbm
# calculated volume	155.5	Å³ per cell
# DFT total energy	-8.889	eV per atom
# energy relative to the elements	-431	meV/atom
# DOS at the Fermi energy	11.57	states/eV per cell
data_ScV2Ir2
_chemical_formula_sum 'Sc2 V4 Ir4'
_cell_length_a 7.481
_cell_length_b 7.481
_cell_length_c 2.779
_cell_angle_alpha 90.00
_cell_angle_beta 90.00
_cell_angle_gamma 90.00
_space_group_name_H-M_alt 'P 1'
_space_group_IT_number 1
loop_
_space_group_symop_operation_xyz
'x,y,z'
loop_
_atom_site_label
_atom_site_fract_x
_atom_site_fract_y
_atom_site_fract_z
Ir1 0.150 0.650 0.500
Ir2 0.350 0.150 0.500
Ir3 0.650 0.850 0.500
Ir4 0.850 0.350 0.500
V1 0.146 0.354 0.000
V2 0.354 0.854 0.000
V3 0.854 0.646 0.000
V4 0.646 0.146 0.000
Sc1 0.000 0.000 0.000
Sc2 0.500 0.500 0.000

Entry 6:
# Cs4NiH5 | the Alexandria database | PBE | optimized geometry
# space group	I4
# calculated volume	272.2	Å³ per cell
# DFT total energy	-2.626	eV per atom
# DOS at the Fermi energy	2.65	states/eV per cell
data_Cs4NiH5
_chemical_formula_sum 'Cs4 Ni1 H5'
_cell_length_a 6.047
_cell_length_b 7.359
_cell_length_c 7.359
_cell_angle_alpha 80.28
_cell_angle_beta 65.74
_cell_angle_gamma 65.74
_space_group_name_H-M_alt 'P 1'
_space_group_IT_number 1
loop_
_space_group_symop_operation_xyz
'x,y,z'
loop_
_atom_site_label
_atom_site_fract_x
_atom_site_fract_y
_atom_site_fract_z
H1 0.981 0.196 0.878
H2 0.859 0.122 0.196
H3 0.056 0.804 0.122
H4 0.177 0.878 0.804
H5 0.338 0.000 0.000
Cs1 0.774 0.858 0.612
Cs2 0.245 0.142 0.388
Cs3 0.386 0.388 0.858
Cs4 0.633 0.612 0.142
Ni1 0.061 0.000 0.000

Please write out number 4 again, unchanged.
# Nd7Er2Th2 | the Alexandria database | PBE | optimized geometry
# space group	C2/m
# calculated volume	376.6	Å³ per cell
# DFT total energy	-5.040	eV per atom
# energy relative to the elements	173	meV/atom
# DOS at the Fermi energy	15.55	states/eV per cell
data_Nd7Er2Th2
_chemical_formula_sum 'Nd7 Er2 Th2'
_cell_length_a 6.148
_cell_length_b 8.128
_cell_length_c 8.128
_cell_angle_alpha 89.93
_cell_angle_beta 74.64
_cell_angle_gamma 74.64
_space_group_name_H-M_alt 'P 1'
_space_group_IT_number 1
loop_
_space_group_symop_operation_xyz
'x,y,z'
loop_
_atom_site_label
_atom_site_fract_x
_atom_site_fract_y
_atom_site_fract_z
Er1 0.500 0.223 0.777
Er2 0.500 0.777 0.223
Nd1 0.000 0.000 0.000
Nd2 0.827 0.413 0.949
Nd3 0.827 0.949 0.413
Nd4 0.595 0.770 0.770
Nd5 0.173 0.587 0.051
Nd6 0.405 0.230 0.230
Nd7 0.173 0.051 0.587
Th1 0.198 0.571 0.571
Th2 0.802 0.429 0.429